Record 1
A geometry-optimized Ag4SnAu2 structure, computed with PBE.

```
data_Ag4SnAu2
_chemical_formula_sum 'Ag8 Sn2 Au4'
_cell_length_a 7.309
_cell_length_b 5.474
_cell_length_c 7.672
_cell_angle_alpha 90.00
_cell_angle_beta 117.54
_cell_angle_gamma 90.00
_symmetry_space_group_name_H-M 'P 1 21/m 1'
_symmetry_Int_Tables_number 11
loop_
_symmetry_equiv_pos_as_xyz
'x,y,z'
'-x,-y,-z'
'-x,y+1/2,-z'
'x,-y+1/2,z'
loop_
_atom_site_label
_atom_site_fract_x
_atom_site_fract_y
_atom_site_fract_z
Ag1 0.012 0.250 0.428
Ag2 0.051 0.250 0.804
Ag3 0.385 0.002 0.770
Sn1 0.245 0.250 0.219
Au1 0.210 0.750 0.997
Au2 0.389 0.750 0.423
```

Output
Energy relative to the elements = 0.1 eV/f.u.
Calculated volume = 19.4 A^3/atom
M_tot = 0.00 μB/atom
E_tot = -3.118 eV/atom
Distance to the lowest polymorph of the same formula = 8 meV/atom
Mass density = 11.52 Mg/m³

---

Record 2
A geometry-optimized SmScZn structure, computed with PBE.

```
data_SmScZn
_chemical_formula_sum 'Sm1 Sc1 Zn1'
_cell_length_a 4.8231
_cell_length_b 4.8231
_cell_length_c 3.6949
_cell_angle_alpha 90.00
_cell_angle_beta 90.00
_cell_angle_gamma 120.00
_symmetry_space_group_name_H-M 'P 3 m 1'
_symmetry_Int_Tables_number 156
loop_
_symmetry_equiv_pos_as_xyz
'x,y,z'
'-y,x-y,z'
'-x+y,-x,z'
'-y,-x,z'
'-x+y,y,z'
'x,x-y,z'
loop_
_atom_site_label
_atom_site_fract_x
_atom_site_fract_y
_atom_site_fract_z
Sm1 0.0000 0.0000 0.0000
Sc1 0.3333 0.6667 0.5010
Zn1 0.6667 0.3333 0.4958
```

Output
Energy relative to the elements = -0.2 eV/f.u.
Calculated volume = 24.8 A^3/atom
M_tot = 0.00 μB/atom
E_tot = -4.186 eV/atom
Distance to the lowest polymorph of the same formula = 127 meV/atom
Mass density = 5.82 Mg/m³

---

Record 3
A geometry-optimized HgPbW4 structure, computed with PBE.

```
data_HgPbW4
_chemical_formula_sum 'Hg4 Pb4 W16'
_cell_length_a 7.710
_cell_length_b 7.710
_cell_length_c 7.710
_cell_angle_alpha 90.00
_cell_angle_beta 90.00
_cell_angle_gamma 90.00
_symmetry_space_group_name_H-M 'F -4 3 m'
_symmetry_Int_Tables_number 216
_symmetry_space_group_name_Hall 'F -4 2 3'
loop_
_atom_site_label
_atom_site_fract_x
_atom_site_fract_y
_atom_site_fract_z
Hg1 0.000 0.000 0.000
Pb1 0.250 0.250 0.750
W1 0.127 0.127 0.373
```

Output
Energy relative to the elements = 5.4 eV/f.u.
Calculated volume = 19.1 A^3/atom
M_tot = 0.00 μB/atom
E_tot = -8.400 eV/atom
Mass density = 16.57 Mg/m³

---

Record 4
A geometry-optimized InAgBr4 structure, computed with PBE.

```
data_InAgBr4
_chemical_formula_sum 'In4 Ag4 Br16'
_cell_length_a 8.102
_cell_length_b 16.857
_cell_length_c 7.017
_cell_angle_alpha 90.00
_cell_angle_beta 122.91
_cell_angle_gamma 90.00
_symmetry_space_group_name_H-M 'C 1 2/c 1'
_symmetry_Int_Tables_number 15
loop_
_symmetry_equiv_pos_as_xyz
'x,y,z'
'-x,-y,-z'
'-x,y,-z+1/2'
'x,-y,z+1/2'
'x+1/2,y+1/2,z'
'-x+1/2,-y+1/2,-z'
'-x+1/2,y+1/2,-z+1/2'
'x+1/2,-y+1/2,z+1/2'
loop_
_atom_site_label
_atom_site_fract_x
_atom_site_fract_y
_atom_site_fract_z
In1 0.000 0.071 0.250
Ag1 0.000 0.420 0.750
Br1 0.230 0.049 0.726
Br2 0.240 0.176 0.258
```

Output
Formation energy (no corrections) = -0.622 eV/atom
Calculated volume = 33.5 A^3/atom
M_tot = 0.00 μB/atom
E_tot = -2.669 eV/atom
Distance to the lowest polymorph of the same formula = 38 meV/atom
Mass density = 4.48 Mg/m³